A plane-wave DFT calculation with PBE was carried out for a relaxed structure of CdIrRuO6.

Summary:
Total energy = -6.11 eV/atom
Formation energy from raw total energies = -0.6874 eV/atom
Magnetic moment = 1.76 Bohr magnetons per cell

Structure (CIF):
```
data_CdIrRuO6
_chemical_formula_sum 'Cd2 Ir2 Ru2 O12'
_cell_length_a 5.2639
_cell_length_b 5.2639
_cell_length_c 8.6043
_cell_angle_alpha 90.00
_cell_angle_beta 90.00
_cell_angle_gamma 120.00
_symmetry_space_group_name_H-M 'P -3 1 c'
_symmetry_Int_Tables_number 163
_symmetry_space_group_name_Hall '-P 3 2c'
loop_
_atom_site_label
_atom_site_type_symbol
_atom_site_fract_x
_atom_site_fract_y
_atom_site_fract_z
Cd1 Cd 0.3333 0.6667 0.2500
Ir1 Ir 0.3333 0.6667 0.7500
Ru1 Ru 0.0000 0.0000 0.0000
O1 O 0.0383 0.3408 0.6188
```

---

A plane-wave DFT calculation with PBE was carried out for a relaxed structure of Zn2PSe.

Summary:
Total energy = -2.66 eV/atom
Formation energy from raw total energies = 0.2003 eV/atom
Magnetic moment = 0.00 Bohr magnetons per cell

Structure (CIF):
```
data_Zn2PSe
_chemical_formula_sum 'Zn4 P2 Se2'
_cell_length_a 3.595
_cell_length_b 3.595
_cell_length_c 11.833
_cell_angle_alpha 90.00
_cell_angle_beta 90.00
_cell_angle_gamma 90.00
_symmetry_space_group_name_H-M 'I -4 m 2'
_symmetry_Int_Tables_number 119
_symmetry_space_group_name_Hall 'I -4 -2'
loop_
_atom_site_label
_atom_site_type_symbol
_atom_site_fract_x
_atom_site_fract_y
_atom_site_fract_z
Zn1 Zn 0.000 0.000 0.000
Zn2 Zn 0.000 0.500 0.250
P1 P 0.000 0.500 0.750
Se1 Se 0.000 0.000 0.500
```

---

A plane-wave DFT calculation with PBE was carried out for a relaxed structure of ErTm2Th2.

Summary:
ΔE_f = 0.307 eV/atom
Total energy = -5.36 eV/atom
Magnetic moment = 0.00 Bohr magnetons per cell
Energy above the most stable polymorph in this dataset = 280 meV/atom

Structure (CIF):
```
data_ErTm2Th2
_chemical_formula_sum 'Er4 Tm8 Th8'
_cell_length_a 8.655
_cell_length_b 10.102
_cell_length_c 8.203
_cell_angle_alpha 90.00
_cell_angle_beta 111.04
_cell_angle_gamma 90.00
_symmetry_space_group_name_H-M 'C 1 2/c 1'
_symmetry_Int_Tables_number 15
_symmetry_space_group_name_Hall '-C 2yc'
loop_
_atom_site_label
_atom_site_type_symbol
_atom_site_fract_x
_atom_site_fract_y
_atom_site_fract_z
Er1 Er 0.000 0.226 0.250
Tm1 Tm 0.000 0.500 0.000
Tm2 Tm 0.250 0.250 0.000
Th1 Th 0.154 0.067 0.646
```

---

A plane-wave DFT calculation with PBE was carried out for a relaxed structure of LiThRuAu.

Summary:
ΔE_f = -0.246 eV/atom
Total energy = -5.72 eV/atom
Magnetic moment = 0.00 Bohr magnetons per cell

Structure (CIF):
```
data_LiThRuAu
_chemical_formula_sum 'Li4 Th4 Ru4 Au4'
_cell_length_a 6.844
_cell_length_b 6.844
_cell_length_c 6.844
_cell_angle_alpha 90.00
_cell_angle_beta 90.00
_cell_angle_gamma 90.00
_symmetry_space_group_name_H-M 'F -4 3 m'
_symmetry_Int_Tables_number 216
_symmetry_space_group_name_Hall 'F -4 2 3'
loop_
_atom_site_label
_atom_site_type_symbol
_atom_site_fract_x
_atom_site_fract_y
_atom_site_fract_z
Li1 Li 0.000 0.000 0.000
Th1 Th 0.000 0.000 0.500
Ru1 Ru 0.250 0.250 0.250
Au1 Au 0.250 0.250 0.750
```

---

A plane-wave DFT calculation with PBE was carried out for a relaxed structure of SiPWSe2.

Summary:
Total energy = -4.72 eV/atom
Formation energy from raw total energies = 1.4314 eV/atom
Magnetic moment = 0.24 Bohr magnetons per cell

Structure (CIF):
```
data_SiPWSe2
_chemical_formula_sum 'Si1 P1 W1 Se2'
_cell_length_a 4.687
_cell_length_b 4.687
_cell_length_c 4.768
_cell_angle_alpha 90.00
_cell_angle_beta 90.00
_cell_angle_gamma 90.00
_symmetry_space_group_name_H-M 'P 4/m m m'
_symmetry_Int_Tables_number 123
_symmetry_space_group_name_Hall '-P 4 2'
loop_
_atom_site_label
_atom_site_type_symbol
_atom_site_fract_x
_atom_site_fract_y
_atom_site_fract_z
Si1 Si 0.000 0.000 0.000
P1 P 0.500 0.500 0.500
W1 W 0.000 0.000 0.500
Se1 Se 0.000 0.500 0.000
```

---

A plane-wave DFT calculation with PBE was carried out for a relaxed structure of RhW2Se.

Summary:
Total energy = -8.76 eV/atom
Formation energy from raw total energies = 0.4282 eV/atom
Magnetic moment = 0.00 Bohr magnetons per cell

Structure (CIF):
```
data_RhW2Se
_chemical_formula_sum 'Rh1 W2 Se1'
_cell_length_a 3.085
_cell_length_b 4.422
_cell_length_c 4.682
_cell_angle_alpha 90.00
_cell_angle_beta 90.00
_cell_angle_gamma 90.00
_symmetry_space_group_name_H-M 'P m m m'
_symmetry_Int_Tables_number 47
_symmetry_space_group_name_Hall '-P 2 2'
loop_
_atom_site_label
_atom_site_type_symbol
_atom_site_fract_x
_atom_site_fract_y
_atom_site_fract_z
Rh1 Rh 0.000 0.000 0.000
W1 W 0.000 0.500 0.500
W2 W 0.500 0.000 0.500
Se1 Se 0.500 0.500 0.000
```

---

A plane-wave DFT calculation with PBE was carried out for a relaxed structure of Ce2ThSn.

Summary:
ΔE_f = -0.113 eV/atom
Total energy = -5.94 eV/atom
Magnetic moment = 3.22 Bohr magnetons per cell
Energy above the most stable polymorph in this dataset = 252 meV/atom

Structure (CIF):
```
data_Ce2ThSn
_chemical_formula_sum 'Ce6 Th3 Sn3'
_cell_length_a 3.4772
_cell_length_b 3.4772
_cell_length_c 33.3065
_cell_angle_alpha 90.00
_cell_angle_beta 90.00
_cell_angle_gamma 120.00
_symmetry_space_group_name_H-M 'R 3 m'
_symmetry_Int_Tables_number 160
_symmetry_space_group_name_Hall 'R 3 -2"'
loop_
_atom_site_label
_atom_site_type_symbol
_atom_site_fract_x
_atom_site_fract_y
_atom_site_fract_z
Ce1 Ce 0.0000 0.0000 0.0000
Ce2 Ce 0.0000 0.0000 0.1730
Th1 Th 0.0000 0.0000 0.7534
Sn1 Sn 0.0000 0.0000 0.5867
```

---

Which value of magnetic moment does entry 5 give?
0.24 Bohr magnetons per cell